The following is a DFT calculation (PBE) of AcGdOsPd after structural relaxation.

## Properties
As for the energy of formation: -0.30 eV/atom. The space-group type is F-43m.

Cell lengths 5.1062, 5.1062, 5.1062 Å; angles 60.00, 60.00, 60.00 degrees
Closest atoms and distances in Å follow each position.
Element x y z (fractional)
Ac1 0.0000 0.0000 0.0000  4 Os 3.13, 4 Pd 3.13
Gd1 0.5000 0.5000 0.5000  4 Os 3.13, 4 Pd 3.13
Os1 0.7500 0.7500 0.7500  4 Gd 3.13, 4 Ac 3.13
Pd1 0.2500 0.2500 0.2500  4 Gd 3.13, 4 Ac 3.13



The following is a DFT calculation (PBE) of UIClO after structural relaxation.

## Properties
Its uncorrected formation energy is -1985 meV per atom. The space-group type is Cm.

Cell lengths 3.8605, 3.8605, 8.5220 Å; angles 103.17, 103.17, 60.00 degrees
Closest atoms and distances in Å follow each position.
Element x y z (fractional)
U1 0.0000 0.0000 0.0000  3 O 2.23
I1 0.7637 0.7637 0.2897  3 O 3.25, 3 U 3.26
Cl1 0.5877 0.5877 0.7647  3 U 2.95, 3 O 2.96
O1 0.3341 0.3341 0.0024  3 U 2.23



The following is a DFT calculation (PBE) of TiNb12Sn6 after structural relaxation.

## Properties
As for the energy of formation: 0.02 eV/atom. The space-group type is R-3.

Cell lengths 7.1920, 7.1920, 7.1920 Å; angles 90.75, 90.75, 90.75 degrees
Closest atoms and distances in Å follow each position.
Element x y z (fractional)
Ti1 0.0000 0.0000 0.0000  6 Nb 2.88, 6 Sn 2.89
Nb1 0.0594 0.1417 0.3721  4 Nb 2.87-2.95, 1 Ti 2.88, 5 Sn 3.00-3.13
Nb2 0.1417 0.3721 0.0594  4 Nb 2.87-2.95, 1 Ti 2.88, 5 Sn 3.00-3.13
Nb3 0.1923 0.4825 0.5671  4 Sn 2.85-2.99, 4 Nb 2.92-2.95
Nb4 0.3721 0.0594 0.1417  4 Nb 2.87-2.95, 1 Ti 2.88, 5 Sn 3.00-3.13
Nb5 0.4329 0.8077 0.5175  4 Sn 2.85-2.99, 4 Nb 2.92-2.95
Nb6 0.4825 0.5671 0.1923  4 Sn 2.85-2.99, 4 Nb 2.92-2.95
Nb7 0.5175 0.4329 0.8077  4 Sn 2.85-2.99, 4 Nb 2.92-2.95
Nb8 0.5671 0.1923 0.4825  4 Sn 2.85-2.99, 4 Nb 2.92-2.95
Nb9 0.6279 0.9406 0.8583  4 Nb 2.87-2.95, 1 Ti 2.88, 5 Sn 3.00-3.13
Nb10 0.8077 0.5175 0.4329  4 Sn 2.85-2.99, 4 Nb 2.92-2.95
Nb11 0.8583 0.6279 0.9406  4 Nb 2.87-2.95, 1 Ti 2.88, 5 Sn 3.00-3.13
Nb12 0.9406 0.8583 0.6279  4 Nb 2.87-2.95, 1 Ti 2.88, 5 Sn 3.00-3.13
Sn1 0.1220 0.7373 0.2743  9 Nb 2.85-3.13, 1 Ti 2.89, 2 Sn 3.04
Sn2 0.2627 0.7257 0.8780  9 Nb 2.85-3.13, 1 Ti 2.89, 2 Sn 3.04
Sn3 0.2743 0.1220 0.7373  9 Nb 2.85-3.13, 1 Ti 2.89, 2 Sn 3.04
Sn4 0.7257 0.8780 0.2627  9 Nb 2.85-3.13, 1 Ti 2.89, 2 Sn 3.04
Sn5 0.7373 0.2743 0.1220  9 Nb 2.85-3.13, 1 Ti 2.89, 2 Sn 3.04
Sn6 0.8780 0.2627 0.7257  9 Nb 2.85-3.13, 1 Ti 2.89, 2 Sn 3.04



The following is a DFT calculation (PBE) of RbNaCaCo2 after structural relaxation.

## Properties
As for the energy of formation: 1.21 eV/atom. The space-group type is P4/mmm.

Cell lengths 5.3003, 5.3003, 6.0874 Å; angles 90.00, 90.00, 90.00 degrees
Closest atoms and distances in Å follow each position.
Element x y z (fractional)
Rb1 0.0000 0.0000 0.0000  4 Na 3.75, 8 Co 4.04
Na1 0.5000 0.5000 0.0000  2 Ca 3.04
Ca1 0.5000 0.5000 0.5000  4 Co 2.65
Co1 0.0000 0.5000 0.5000  2 Ca 2.65
Co2 0.5000 0.0000 0.5000  2 Ca 2.65



The following is a DFT calculation (PBE) of NiTePbN2 after structural relaxation.

## Properties
Its uncorrected formation energy is 1897 meV per atom. The space-group type is P4/mmm.

Cell lengths 4.2607, 4.2607, 6.3623 Å; angles 90.00, 90.00, 90.00 degrees
Closest atoms and distances in Å follow each position.
Element x y z (fractional)
Ni1 0.0000 0.0000 0.0000  4 Te 3.01
Te1 0.5000 0.5000 0.0000  4 Ni 3.01, 2 Pb 3.18
Pb1 0.5000 0.5000 0.5000  4 N 2.13
N1 0.0000 0.5000 0.5000  2 Pb 2.13
N2 0.5000 0.0000 0.5000  2 Pb 2.13



The following is a DFT calculation (PBE) of CsTaZnO4 after structural relaxation.

## Properties
Its uncorrected formation energy is -2175 meV per atom. The space-group type is P2_1/m.

Cell lengths 5.6321, 5.8147, 10.0226 Å; angles 90.00, 94.08, 90.00 degrees
Closest atoms and distances in Å follow each position.
Element x y z (fractional)
Cs1 0.1778 0.2500 0.3381  3 O 2.91-3.14
Cs2 0.8222 0.7500 0.6619  3 O 2.91-3.14
Ta1 0.2844 0.2500 0.8068  4 O 1.82-1.89
Ta2 0.7156 0.7500 0.1932  4 O 1.82-1.89
Zn1 0.1409 0.7500 0.0222  3 O 1.93-1.98
Zn2 0.8591 0.2500 0.9778  3 O 1.93-1.98
O1 0.1374 0.0006 0.8885  1 Ta 1.89, 1 Zn 1.98
O2 0.1374 0.4994 0.8885  1 Ta 1.89, 1 Zn 1.98
O3 0.1933 0.2500 0.6287  1 Ta 1.82
O4 0.3814 0.7500 0.1691  1 Ta 1.88, 1 Zn 1.93
O5 0.6186 0.2500 0.8309  1 Ta 1.88, 1 Zn 1.93
O6 0.8067 0.7500 0.3713  1 Ta 1.82
O7 0.8626 0.5006 0.1115  1 Ta 1.89, 1 Zn 1.98
O8 0.8626 0.9994 0.1115  1 Ta 1.89, 1 Zn 1.98



The following is a DFT calculation (PBE) of BeOsAu2 after structural relaxation.

## Properties
As for the energy of formation: 0.79 eV/atom. The space-group type is I-42d.

Cell lengths 9.8780, 9.8780, 9.8780 Å; angles 158.42, 158.42, 30.71 degrees
Closest atoms and distances in Å follow each position.
Element x y z (fractional)
Be1 0.0000 0.0000 0.0000  4 Os 2.62, 4 Au 2.71
Be2 0.7500 0.2500 0.5000  4 Os 2.62, 4 Au 2.71
Os1 0.2500 0.7500 0.5000  4 Be 2.62, 4 Au 2.72
Os2 0.5000 0.5000 0.0000  4 Be 2.62, 4 Au 2.72
Au1 0.1232 0.6250 0.9982  4 Au 2.61-2.62, 2 Be 2.71, 2 Os 2.72
Au2 0.3750 0.3732 0.4982  4 Au 2.61-2.62, 2 Be 2.71, 2 Os 2.72
Au3 0.6268 0.1250 0.0018  4 Au 2.61-2.62, 2 Be 2.71, 2 Os 2.72
Au4 0.8750 0.8768 0.5018  4 Au 2.61-2.62, 2 Be 2.71, 2 Os 2.72



The following is a DFT calculation (PBE) of CePmSm2Dy4 after structural relaxation.

## Properties
As for the energy of formation: 0.04 eV/atom. The space-group type is P2/m.

Cell lengths 6.2000, 3.5752, 11.8121 Å; angles 90.00, 100.16, 90.00 degrees
Closest atoms and distances in Å follow each position.
Element x y z (fractional)
Ce1 0.0000 0.0000 0.0000  6 Dy 3.53-3.55, 2 Ce 3.58, 4 Sm 3.58
Pm1 0.0000 0.5000 0.5000  6 Dy 3.57-3.59, 2 Pm 3.58, 4 Sm 3.58
Sm1 0.5000 0.0000 0.5000  2 Sm 3.58, 4 Pm 3.58, 6 Dy 3.59-3.60
Sm2 0.5000 0.5000 0.0000  6 Dy 3.55-3.56, 2 Sm 3.58, 4 Ce 3.58
Dy1 0.2456 0.5000 0.2468  2 Ce 3.53, 6 Dy 3.55-3.61, 3 Sm 3.55-3.60, 1 Pm 3.59
Dy2 0.2476 0.0000 0.7513  6 Dy 3.55-3.61, 1 Ce 3.55, 3 Sm 3.56-3.59, 2 Pm 3.57
Dy3 0.7524 0.0000 0.2487  6 Dy 3.55-3.61, 1 Ce 3.55, 3 Sm 3.56-3.59, 2 Pm 3.57
Dy4 0.7544 0.5000 0.7532  2 Ce 3.53, 6 Dy 3.55-3.61, 3 Sm 3.55-3.60, 1 Pm 3.59



The following is a DFT calculation (PBE) of CaReAu3 after structural relaxation.

## Properties
As for the energy of formation: 0.45 eV/atom. The space-group type is Pm-3m.

Cell lengths 5.0606, 5.0606, 5.0606 Å; angles 90.00, 90.00, 90.00 degrees
Closest atoms and distances in Å follow each position.
Element x y z (fractional)
Ca1 0.0000 0.0000 0.0000  12 Au 3.58
Re1 0.5000 0.5000 0.5000  6 Au 2.53
Au1 0.0000 0.5000 0.5000  2 Re 2.53
Au2 0.5000 0.0000 0.5000  2 Re 2.53
Au3 0.5000 0.5000 0.0000  2 Re 2.53



The following is a DFT calculation (PBE) of Ba2AgSnSb after structural relaxation.

## Properties
Its uncorrected formation energy is -59 meV per atom. The space-group type is P4/mmm.

Cell lengths 6.6170, 6.6170, 5.7001 Å; angles 90.00, 90.00, 90.00 degrees
Closest atoms and distances in Å follow each position.
Element x y z (fractional)
Ba1 0.0000 0.5000 0.0000  2 Sb 3.31
Ba2 0.5000 0.0000 0.0000  2 Sb 3.31
Ag1 0.0000 0.0000 0.5000  8 Ba 4.37, 4 Sn 4.68
Sn1 0.5000 0.5000 0.5000  2 Sb 2.85
Sb1 0.5000 0.5000 0.0000  2 Sn 2.85



The following is a DFT calculation (PBE) of Cu2Sn2Bi after structural relaxation.

## Properties
As for the energy of formation: 0.23 eV/atom. The space-group type is P4/mbm.

Cell lengths 8.4003, 8.4003, 3.1636 Å; angles 90.00, 90.00, 90.00 degrees
Closest atoms and distances in Å follow each position.
Element x y z (fractional)
Cu1 0.1080 0.3920 0.0000  1 Cu 2.57
Cu2 0.3920 0.8920 0.0000  1 Cu 2.57
Cu3 0.6080 0.1080 0.0000  1 Cu 2.57
Cu4 0.8920 0.6080 0.0000  1 Cu 2.57
Sn1 0.1720 0.6720 0.5000  6 Cu 2.89-3.05, 2 Bi 3.11, 2 Sn 3.16
Sn2 0.3280 0.1720 0.5000  6 Cu 2.89-3.05, 2 Bi 3.11, 2 Sn 3.16
Sn3 0.6720 0.8280 0.5000  6 Cu 2.89-3.05, 2 Bi 3.11, 2 Sn 3.16
Sn4 0.8280 0.3280 0.5000  6 Cu 2.89-3.05, 2 Bi 3.11, 2 Sn 3.16
Bi1 0.0000 0.0000 0.5000  4 Sn 3.11, 2 Bi 3.16
Bi2 0.5000 0.5000 0.5000  4 Sn 3.11, 2 Bi 3.16



The following is a DFT calculation (PBE) of MnCoMo after structural relaxation.

## Properties
As for the energy of formation: 0.52 eV/atom. The space-group type is F-43m.

Cell lengths 4.0016, 4.0016, 4.0016 Å; angles 60.00, 60.00, 60.00 degrees
Closest atoms and distances in Å follow each position.
Element x y z (fractional)
Mn1 0.0000 0.0000 0.0000  4 Co 2.45
Co1 0.7500 0.7500 0.7500  4 Mn 2.45, 4 Mo 2.45
Mo1 0.5000 0.5000 0.5000  4 Co 2.45



One value per record, in order, for Fermi-level density of states: 2.44; 5.95; 17.16; 7.80; 4.45; 0.00; 4.62; 13.39; 6.27; 4.86; 4.09; 3.70 states/eV/cell.
One value per record, in order, for raw total energy: -35.79; -27.58; -152.46; -12.43; -19.80; -98.07; -36.72; -38.21; -22.01; -15.12; -37.82; -25.56 eV per cell.